Density functional theory data (GGA+U) for a relaxed Sr2CoMoO6 crystal.

Computed properties:
Total magnetic moment   6.02 Bohr magnetons per cell
Energy above the lowest structure with this stoichiometry   0 meV/atom
Theoretical density   5.5 Mg/m³

```
Sr2CoMoO6
1.0
5.671 0.000 0.000
0.000 5.662 0.000
-5.652 0.000 7.996
Sr Co Mo O
4 2 2 12
Direct
0.244 0.023 0.249
0.244 0.477 0.749
0.756 0.523 0.251
0.756 0.977 0.751
0.000 0.000 0.500
0.000 0.500 0.000
0.500 0.000 0.000
0.500 0.500 0.500
0.206 0.214 0.972
0.206 0.286 0.472
0.258 0.733 0.971
0.258 0.767 0.471
0.315 0.008 0.759
0.315 0.492 0.259
0.685 0.508 0.741
0.685 0.992 0.241
0.742 0.233 0.529
0.742 0.267 0.029
0.794 0.714 0.528
0.794 0.786 0.028
```